1.
# NaHfCu2S4 PBE-GGA optimized geometry
# - Uncorrected formation energy: -6.1 eV per formula unit
# - Energy: -5.26 eV/atom
data_NaHfCu2S4
_cell_length_a 6.187
_cell_length_b 6.573
_cell_length_c 8.127
_cell_angle_alpha 90.00
_cell_angle_beta 90.00
_cell_angle_gamma 90.00
_symmetry_space_group_name_H-M 'I 2 2 2'
_symmetry_Int_Tables_number 23
loop_
_symmetry_equiv_pos_as_xyz
'x,y,z'
'-x,-y,z'
'x,-y,-z'
'-x,y,-z'
'x+1/2,y+1/2,z+1/2'
'-x+1/2,-y+1/2,z+1/2'
'x+1/2,-y+1/2,-z+1/2'
'-x+1/2,y+1/2,-z+1/2'
loop_
_atom_site_label
_atom_site_type_symbol
_atom_site_fract_x
_atom_site_fract_y
_atom_site_fract_z
Na1 Na 0.000 0.000 0.000
Hf1 Hf 0.000 0.000 0.500
Cu1 Cu 0.000 0.500 0.176
S1 S 0.224 0.221 0.336



2.
# Na2Hf2CuS6 PBE-GGA optimized geometry
# - Uncorrected formation energy: -13.2 eV per formula unit
# - Energy: -5.87 eV/atom
data_Na2Hf2CuS6
_cell_length_a 6.273
_cell_length_b 11.163
_cell_length_c 7.106
_cell_angle_alpha 90.00
_cell_angle_beta 106.48
_cell_angle_gamma 90.00
_symmetry_space_group_name_H-M 'C 1 2/m 1'
_symmetry_Int_Tables_number 12
loop_
_symmetry_equiv_pos_as_xyz
'x,y,z'
'-x,-y,-z'
'-x,y,-z'
'x,-y,z'
'x+1/2,y+1/2,z'
'-x+1/2,-y+1/2,-z'
'-x+1/2,y+1/2,-z'
'x+1/2,-y+1/2,z'
loop_
_atom_site_label
_atom_site_type_symbol
_atom_site_fract_x
_atom_site_fract_y
_atom_site_fract_z
Na1 Na 0.000 0.162 0.000
Hf1 Hf 0.000 0.331 0.500
Cu1 Cu 0.000 0.000 0.500
S1 S 0.243 0.172 0.716
S2 S 0.249 0.500 0.696



3.
# Na3Hf3CuS8 PBE-GGA optimized geometry
# - Uncorrected formation energy: -19.4 eV per formula unit
# - Energy: -6.02 eV/atom
data_Na3Hf3CuS8
_cell_length_a 7.3812
_cell_length_b 7.3812
_cell_length_c 20.1621
_cell_angle_alpha 90.00
_cell_angle_beta 90.00
_cell_angle_gamma 120.00
_symmetry_space_group_name_H-M 'R -3 m'
_symmetry_Int_Tables_number 166
_symmetry_space_group_name_Hall '-R 3 2"'
loop_
_atom_site_label
_atom_site_type_symbol
_atom_site_fract_x
_atom_site_fract_y
_atom_site_fract_z
Na1 Na 0.0000 0.5000 0.0000
Hf1 Hf 0.0000 0.5000 0.5000
Cu1 Cu 0.0000 0.0000 0.5000
S1 S 0.0000 0.0000 0.2402
S2 S 0.0049 0.5025 0.7637



4.
# NaHfCuS3 PBE-GGA optimized geometry
# - Uncorrected formation energy: -7.3 eV per formula unit
# - Energy: -5.84 eV/atom
data_NaHfCuS3
_cell_length_a 7.713
_cell_length_b 3.699
_cell_length_c 8.893
_cell_angle_alpha 90.00
_cell_angle_beta 107.19
_cell_angle_gamma 90.00
_symmetry_space_group_name_H-M 'P 1 21/m 1'
_symmetry_Int_Tables_number 11
loop_
_symmetry_equiv_pos_as_xyz
'x,y,z'
'-x,-y,-z'
'-x,y+1/2,-z'
'x,-y+1/2,z'
loop_
_atom_site_label
_atom_site_type_symbol
_atom_site_fract_x
_atom_site_fract_y
_atom_site_fract_z
Na1 Na 0.227 0.250 0.270
Hf1 Hf 0.314 0.750 0.832
Cu1 Cu 0.085 0.250 0.597
S1 S 0.098 0.250 0.858
S2 S 0.242 0.750 0.539
S3 S 0.443 0.750 0.144



5.
# Na4Hf3CuS8 PBE-GGA optimized geometry
# - Uncorrected formation energy: -21.0 eV per formula unit
# - Energy: -5.83 eV/atom
data_Na4Hf3CuS8
_cell_length_a 7.4200
_cell_length_b 7.4200
_cell_length_c 19.9676
_cell_angle_alpha 90.00
_cell_angle_beta 90.00
_cell_angle_gamma 120.00
_symmetry_space_group_name_H-M 'R -3 m'
_symmetry_Int_Tables_number 166
_symmetry_space_group_name_Hall '-R 3 2"'
loop_
_atom_site_label
_atom_site_type_symbol
_atom_site_fract_x
_atom_site_fract_y
_atom_site_fract_z
Na1 Na 0.0000 0.0000 0.0000
Na2 Na 0.0000 0.5000 0.0000
Hf1 Hf 0.0000 0.5000 0.5000
Cu1 Cu 0.0000 0.0000 0.5000
S1 S 0.0000 0.0000 0.2402
S2 S 0.0042 0.5021 0.7619



6.
# NaHfCuSe3 PBE-GGA optimized geometry
# - Uncorrected formation energy: -6.4 eV per formula unit
# - Energy: -5.36 eV/atom
data_NaHfCuSe3
_cell_length_a 7.847
_cell_length_b 3.838
_cell_length_c 9.535
_cell_angle_alpha 90.00
_cell_angle_beta 108.03
_cell_angle_gamma 90.00
_symmetry_space_group_name_H-M 'P 1 21/m 1'
_symmetry_Int_Tables_number 11
loop_
_symmetry_equiv_pos_as_xyz
'x,y,z'
'-x,-y,-z'
'-x,y+1/2,-z'
'x,-y+1/2,z'
loop_
_atom_site_label
_atom_site_type_symbol
_atom_site_fract_x
_atom_site_fract_y
_atom_site_fract_z
Na1 Na 0.244 0.250 0.287
Hf1 Hf 0.309 0.750 0.828
Cu1 Cu 0.083 0.250 0.596
Se1 Se 0.082 0.250 0.850
Se2 Se 0.255 0.750 0.543
Se3 Se 0.434 0.750 0.137



7.
# Na3Hf2CuSe6 PBE-GGA optimized geometry
# - Uncorrected formation energy: -13.3 eV per formula unit
# - Energy: -5.18 eV/atom
data_Na3Hf2CuSe6
_cell_length_a 6.778
_cell_length_b 11.708
_cell_length_c 7.305
_cell_angle_alpha 90.00
_cell_angle_beta 108.10
_cell_angle_gamma 90.00
_symmetry_space_group_name_H-M 'C 1 2/m 1'
_symmetry_Int_Tables_number 12
loop_
_symmetry_equiv_pos_as_xyz
'x,y,z'
'-x,-y,-z'
'-x,y,-z'
'x,-y,z'
'x+1/2,y+1/2,z'
'-x+1/2,-y+1/2,-z'
'-x+1/2,y+1/2,-z'
'x+1/2,-y+1/2,z'
loop_
_atom_site_label
_atom_site_type_symbol
_atom_site_fract_x
_atom_site_fract_y
_atom_site_fract_z
Na1 Na 0.000 0.000 0.000
Na2 Na 0.000 0.335 0.000
Hf1 Hf 0.000 0.167 0.500
Cu1 Cu 0.000 0.500 0.500
Se1 Se 0.231 0.000 0.717
Se2 Se 0.242 0.331 0.716



8.
# NaHfCu2Se4 PBE-GGA optimized geometry
# - Uncorrected formation energy: -5.0 eV per formula unit
# - Energy: -4.80 eV/atom
data_NaHfCu2Se4
_cell_length_a 6.395
_cell_length_b 6.991
_cell_length_c 8.669
_cell_angle_alpha 90.00
_cell_angle_beta 90.00
_cell_angle_gamma 90.00
_symmetry_space_group_name_H-M 'I 2 2 2'
_symmetry_Int_Tables_number 23
loop_
_symmetry_equiv_pos_as_xyz
'x,y,z'
'-x,-y,z'
'x,-y,-z'
'-x,y,-z'
'x+1/2,y+1/2,z+1/2'
'-x+1/2,-y+1/2,z+1/2'
'x+1/2,-y+1/2,-z+1/2'
'-x+1/2,y+1/2,-z+1/2'
loop_
_atom_site_label
_atom_site_type_symbol
_atom_site_fract_x
_atom_site_fract_y
_atom_site_fract_z
Na1 Na 0.000 0.000 0.000
Hf1 Hf 0.000 0.000 0.500
Cu1 Cu 0.000 0.500 0.151
Se1 Se 0.225 0.224 0.341



9.
# Na2Hf2CuSe6 PBE-GGA optimized geometry
# - Uncorrected formation energy: -11.4 eV per formula unit
# - Energy: -5.36 eV/atom
data_Na2Hf2CuSe6
_cell_length_a 6.548
_cell_length_b 11.645
_cell_length_c 7.475
_cell_angle_alpha 90.00
_cell_angle_beta 106.78
_cell_angle_gamma 90.00
_symmetry_space_group_name_H-M 'C 1 2/m 1'
_symmetry_Int_Tables_number 12
loop_
_symmetry_equiv_pos_as_xyz
'x,y,z'
'-x,-y,-z'
'-x,y,-z'
'x,-y,z'
'x+1/2,y+1/2,z'
'-x+1/2,-y+1/2,-z'
'-x+1/2,y+1/2,-z'
'x+1/2,-y+1/2,z'
loop_
_atom_site_label
_atom_site_type_symbol
_atom_site_fract_x
_atom_site_fract_y
_atom_site_fract_z
Na1 Na 0.000 0.163 0.000
Hf1 Hf 0.000 0.330 0.500
Cu1 Cu 0.000 0.000 0.500
Se1 Se 0.244 0.169 0.717
Se2 Se 0.249 0.500 0.701



10.
# NaHf2CuSe PBE-GGA optimized geometry
# - Uncorrected formation energy: 7.6 eV per formula unit
# - Energy: -4.24 eV/atom
data_NaHf2CuSe
_cell_length_a 5.005
_cell_length_b 5.005
_cell_length_c 4.700
_cell_angle_alpha 90.00
_cell_angle_beta 90.00
_cell_angle_gamma 90.00
_symmetry_space_group_name_H-M 'P 4/m m m'
_symmetry_Int_Tables_number 123
_symmetry_space_group_name_Hall '-P 4 2'
loop_
_atom_site_label
_atom_site_type_symbol
_atom_site_fract_x
_atom_site_fract_y
_atom_site_fract_z
Na1 Na 0.000 0.000 0.000
Hf1 Hf 0.000 0.500 0.000
Cu1 Cu 0.500 0.500 0.500
Se1 Se 0.000 0.000 0.500



11.
# NaHf2CuSe5 PBE-GGA optimized geometry
# - Uncorrected formation energy: -10.4 eV per formula unit
# - Energy: -5.91 eV/atom
data_NaHf2CuSe5
_cell_length_a 3.807
_cell_length_b 14.067
_cell_length_c 16.320
_cell_angle_alpha 90.00
_cell_angle_beta 90.00
_cell_angle_gamma 90.00
_symmetry_space_group_name_H-M 'C m c m'
_symmetry_Int_Tables_number 63
_symmetry_space_group_name_Hall '-C 2c 2'
loop_
_atom_site_label
_atom_site_type_symbol
_atom_site_fract_x
_atom_site_fract_y
_atom_site_fract_z
Na1 Na 0.000 0.025 0.250
Hf1 Hf 0.000 0.214 0.599
Cu1 Cu 0.000 0.314 0.250
Se1 Se 0.000 0.158 0.058
Se2 Se 0.000 0.298 0.750
Se3 Se 0.000 0.416 0.130



12.
# Na2HfCuSe4 PBE-GGA optimized geometry
# - Uncorrected formation energy: -7.5 eV per formula unit
# - Energy: -4.76 eV/atom
data_Na2HfCuSe4
_cell_length_a 7.091
_cell_length_b 3.789
_cell_length_c 7.404
_cell_angle_alpha 90.00
_cell_angle_beta 111.67
_cell_angle_gamma 90.00
_symmetry_space_group_name_H-M 'P 1 2/m 1'
_symmetry_Int_Tables_number 10
loop_
_symmetry_equiv_pos_as_xyz
'x,y,z'
'-x,-y,-z'
'-x,y,-z'
'x,-y,z'
loop_
_atom_site_label
_atom_site_type_symbol
_atom_site_fract_x
_atom_site_fract_y
_atom_site_fract_z
Na1 Na 0.000 0.000 0.000
Na2 Na 0.500 0.500 0.000
Hf1 Hf 0.000 0.500 0.500
Cu1 Cu 0.500 0.000 0.500
Se1 Se 0.215 0.000 0.740
Se2 Se 0.278 0.500 0.321



13.
# NaHfCuSe3 PBE-GGA optimized geometry
# - Uncorrected formation energy: -6.4 eV per formula unit
# - Energy: -5.36 eV/atom
data_NaHfCuSe3
_cell_length_a 13.759
_cell_length_b 3.843
_cell_length_c 10.313
_cell_angle_alpha 90.00
_cell_angle_beta 90.00
_cell_angle_gamma 90.00
_symmetry_space_group_name_H-M 'P n m a'
_symmetry_Int_Tables_number 62
loop_
_symmetry_equiv_pos_as_xyz
'x,y,z'
'-x,-y,-z'
'-x+1/2,-y,z+1/2'
'x+1/2,y,-z+1/2'
'x+1/2,-y+1/2,-z+1/2'
'-x+1/2,y+1/2,z+1/2'
'-x,y+1/2,-z'
'x,-y+1/2,z'
loop_
_atom_site_label
_atom_site_type_symbol
_atom_site_fract_x
_atom_site_fract_y
_atom_site_fract_z
Na1 Na 0.227 0.250 0.048
Hf1 Hf 0.009 0.250 0.322
Cu1 Cu 0.007 0.750 0.091
Se1 Se 0.102 0.250 0.563
Se2 Se 0.105 0.750 0.880
Se3 Se 0.135 0.750 0.255



14.
# Na4Hf3CuSe8 PBE-GGA optimized geometry
# - Uncorrected formation energy: -18.1 eV per formula unit
# - Energy: -5.33 eV/atom
data_Na4Hf3CuSe8
_cell_length_a 7.7640
_cell_length_b 7.7640
_cell_length_c 20.9659
_cell_angle_alpha 90.00
_cell_angle_beta 90.00
_cell_angle_gamma 120.00
_symmetry_space_group_name_H-M 'R -3 m'
_symmetry_Int_Tables_number 166
_symmetry_space_group_name_Hall '-R 3 2"'
loop_
_atom_site_label
_atom_site_type_symbol
_atom_site_fract_x
_atom_site_fract_y
_atom_site_fract_z
Na1 Na 0.0000 0.0000 0.0000
Na2 Na 0.0000 0.5000 0.0000
Hf1 Hf 0.0000 0.5000 0.5000
Cu1 Cu 0.0000 0.0000 0.5000
Se1 Se 0.0000 0.0000 0.2410
Se2 Se 0.0011 0.5006 0.7618



15.
# NaHfCuTe3 PBE-GGA optimized geometry
# - Uncorrected formation energy: -4.2 eV per formula unit
# - Energy: -4.83 eV/atom
data_NaHfCuTe3
_cell_length_a 8.385
_cell_length_b 4.075
_cell_length_c 10.313
_cell_angle_alpha 90.00
_cell_angle_beta 108.77
_cell_angle_gamma 90.00
_symmetry_space_group_name_H-M 'P 1 21/m 1'
_symmetry_Int_Tables_number 11
loop_
_symmetry_equiv_pos_as_xyz
'x,y,z'
'-x,-y,-z'
'-x,y+1/2,-z'
'x,-y+1/2,z'
loop_
_atom_site_label
_atom_site_type_symbol
_atom_site_fract_x
_atom_site_fract_y
_atom_site_fract_z
Na1 Na 0.244 0.250 0.209
Hf1 Hf 0.197 0.750 0.677
Cu1 Cu 0.417 0.250 0.904
Te1 Te 0.068 0.750 0.368
Te2 Te 0.246 0.750 0.960
Te3 Te 0.429 0.250 0.654



16.
# Na4Hf3CuTe8 PBE-GGA optimized geometry
# - Uncorrected formation energy: -11.9 eV per formula unit
# - Energy: -4.76 eV/atom
data_Na4Hf3CuTe8
_cell_length_a 8.3195
_cell_length_b 8.3195
_cell_length_c 22.6885
_cell_angle_alpha 90.00
_cell_angle_beta 90.00
_cell_angle_gamma 120.00
_symmetry_space_group_name_H-M 'R -3 m'
_symmetry_Int_Tables_number 166
_symmetry_space_group_name_Hall '-R 3 2"'
loop_
_atom_site_label
_atom_site_type_symbol
_atom_site_fract_x
_atom_site_fract_y
_atom_site_fract_z
Na1 Na 0.0000 0.0000 0.0000
Na2 Na 0.0000 0.5000 0.0000
Hf1 Hf 0.0000 0.5000 0.5000
Cu1 Cu 0.0000 0.0000 0.5000
Te1 Te 0.0000 0.0000 0.2410
Te2 Te 0.0042 0.5021 0.2377



17.
# Na2HfCuTe4 PBE-GGA optimized geometry
# - Uncorrected formation energy: -4.9 eV per formula unit
# - Energy: -4.27 eV/atom
data_Na2HfCuTe4
_cell_length_a 7.543
_cell_length_b 4.062
_cell_length_c 7.972
_cell_angle_alpha 90.00
_cell_angle_beta 110.45
_cell_angle_gamma 90.00
_symmetry_space_group_name_H-M 'P 1 2/m 1'
_symmetry_Int_Tables_number 10
loop_
_symmetry_equiv_pos_as_xyz
'x,y,z'
'-x,-y,-z'
'-x,y,-z'
'x,-y,z'
loop_
_atom_site_label
_atom_site_type_symbol
_atom_site_fract_x
_atom_site_fract_y
_atom_site_fract_z
Na1 Na 0.000 0.000 0.000
Na2 Na 0.500 0.500 0.000
Hf1 Hf 0.000 0.500 0.500
Cu1 Cu 0.500 0.000 0.500
Te1 Te 0.219 0.000 0.737
Te2 Te 0.282 0.500 0.319



18.
# NaHfCu2W PBE-GGA optimized geometry
# - Formation energy from the elements: 1.749 eV/atom
# - Energy: -4.73 eV/atom
data_NaHfCu2W
_cell_length_a 4.647
_cell_length_b 4.647
_cell_length_c 4.892
_cell_angle_alpha 90.00
_cell_angle_beta 90.00
_cell_angle_gamma 90.00
_symmetry_space_group_name_H-M 'P 4/m m m'
_symmetry_Int_Tables_number 123
_symmetry_space_group_name_Hall '-P 4 2'
loop_
_atom_site_label
_atom_site_type_symbol
_atom_site_fract_x
_atom_site_fract_y
_atom_site_fract_z
Na1 Na 0.000 0.000 0.000
Hf1 Hf 0.500 0.500 0.000
Cu1 Cu 0.000 0.500 0.500
W1 W 0.000 0.000 0.500



19.
# Hf2Nb2Cu PBE-GGA optimized geometry
# - Formation energy from the elements: 0.266 eV/atom
# - Energy: -8.56 eV/atom
data_Hf2Nb2Cu
_cell_length_a 6.928
_cell_length_b 6.928
_cell_length_c 4.087
_cell_angle_alpha 90.00
_cell_angle_beta 90.00
_cell_angle_gamma 90.00
_symmetry_space_group_name_H-M 'P 4/m b m'
_symmetry_Int_Tables_number 127
_symmetry_space_group_name_Hall '-P 4 2ab'
loop_
_atom_site_label
_atom_site_type_symbol
_atom_site_fract_x
_atom_site_fract_y
_atom_site_fract_z
Hf1 Hf 0.168 0.332 0.000
Nb1 Nb 0.136 0.636 0.500
Cu1 Cu 0.000 0.000 0.500



20.
# HfNb2Cu2 PBE-GGA optimized geometry
# - Formation energy from the elements: 0.181 eV/atom
# - E above lowest polymorph: 50.1 meV per atom
# - Energy: -7.48 eV/atom
data_HfNb2Cu2
_cell_length_a 3.849
_cell_length_b 3.849
_cell_length_c 11.735
_cell_angle_alpha 90.00
_cell_angle_beta 90.00
_cell_angle_gamma 90.00
_symmetry_space_group_name_H-M 'I 4/m m m'
_symmetry_Int_Tables_number 139
_symmetry_space_group_name_Hall '-I 4 2'
loop_
_atom_site_label
_atom_site_type_symbol
_atom_site_fract_x
_atom_site_fract_y
_atom_site_fract_z
Hf1 Hf 0.000 0.000 0.000
Nb1 Nb 0.000 0.500 0.250
Cu1 Cu 0.000 0.000 0.404



Number 1: spin magnetization 0.00 μB/atom. Number 2: spin magnetization 0.09 μB/atom. Number 3: spin magnetization 0.00 μB/atom. Number 4: spin magnetization 0.00 μB/atom. Number 5: spin magnetization 0.00 μB/atom. Number 6: spin magnetization 0.00 μB/atom. Number 7: spin magnetization 0.00 μB/atom. Number 8: spin magnetization 0.00 μB/atom. Number 9: spin magnetization 0.07 μB/atom. Number 10: spin magnetization 0.00 μB/atom. Number 11: spin magnetization 0.00 μB/atom. Number 12: spin magnetization 0.00 μB/atom. Number 13: spin magnetization 0.00 μB/atom. Number 14: spin magnetization 0.00 μB/atom. Number 15: spin magnetization 0.00 μB/atom. Number 16: spin magnetization 0.00 μB/atom. Number 17: spin magnetization 0.00 μB/atom. Number 18: spin magnetization 0.05 μB/atom. Number 19: spin magnetization 0.00 μB/atom. Number 20: spin magnetization 0.00 μB/atom.